# 1
Here is EuTm after structural relaxation from the Alexandria database. Energies are from PBE-GGA.

## Properties
**Symmetry**: No. 221
**Energy of formation from the pure elements**: 4.11 kcal/mol of atoms
**Offset from the most stable computed form**: 0.089 eV per formula unit
**Energy**: -14.39 eV for the cell shown

abc: 4.096 4.096 4.096
angles: 90.00 90.00 90.00
Each line ends with the local moment (μB).
Sites, in units of the cell vectors:
Eu1 0.000 0.000 0.000  -6.87
Tm1 0.500 0.500 0.500  -0.17

***

# 2
Here is Rb3Ba2UTe6 after structural relaxation from the Alexandria database. Energies are from PBE-GGA.

## Properties
**Symmetry**: No. 12
**Energy relative to the elements, uncorrected**: -1.22 eV/atom
**Energy**: -51.52 eV for the cell shown

abc: 8.497 8.497 8.943
angles: 99.26 99.26 119.90
Each line ends with the local moment (μB).
Sites, in units of the cell vectors:
Rb1 0.173 0.827 0.500  0.00
Rb2 0.827 0.173 0.500  0.00
Rb3 0.500 0.500 0.500  0.00
Ba1 0.334 0.666 0.000  0.00
Ba2 0.666 0.334 0.000  0.00
U1 0.000 0.000 0.000  1.51
Te1 0.931 0.638 0.792  -0.05
Te2 0.780 0.780 0.208  -0.05
Te3 0.069 0.362 0.208  -0.05
Te4 0.638 0.931 0.792  -0.05
Te5 0.220 0.220 0.792  -0.05
Te6 0.362 0.069 0.208  -0.05

***

# 3
Here is IrPtPb2O after structural relaxation from the Alexandria database. Energies are from PBE-GGA.

## Properties
**Symmetry**: No. 47
**Offset from the most stable computed form**: 0.047 eV per formula unit
**Energy relative to the elements, uncorrected**: -0.16 eV/atom
**Energy**: -28.07 eV for the cell shown

abc: 3.321 3.707 8.453
angles: 90.00 90.00 90.00
Sites, in units of the cell vectors:
Ir1 0.000 0.000 0.000
Pt1 0.000 0.500 0.500
Pb1 0.500 0.000 0.702
Pb2 0.500 0.000 0.298
O1 0.000 0.500 0.000

***

# 4
Here is Pm3ErTh2As6 after structural relaxation from the Alexandria database. Energies are from PBE-GGA.

## Properties
**Symmetry**: No. 12
**Energy of formation from the pure elements**: -34.50 kcal/mol of atoms
**Energy**: -79.51 eV for the cell shown

abc: 4.227 8.435 9.443
angles: 103.05 102.93 90.00
Sites, in units of the cell vectors:
Pm1 0.500 0.500 0.000
Pm2 0.834 0.166 0.667
Pm3 0.166 0.834 0.333
Er1 0.500 0.000 0.000
Th1 0.835 0.670 0.671
Th2 0.165 0.330 0.329
As1 0.336 0.918 0.672
As2 0.667 0.583 0.334
As3 0.664 0.082 0.328
As4 0.000 0.243 0.999
As5 0.000 0.757 0.001
As6 0.333 0.417 0.666

***

# 5
Here is GaCuNi2Br after structural relaxation from the Alexandria database. Energies are from PBE-GGA.

## Properties
**Symmetry**: No. 123
**Energy relative to the elements, uncorrected**: 0.70 eV/atom
**Energy**: -16.85 eV for the cell shown

abc: 4.474 4.579 4.474
angles: 90.00 90.00 90.00
Sites, in units of the cell vectors:
Ni1 0.000 0.000 0.500
Ni2 0.500 0.000 0.000
Cu1 0.000 0.500 0.000
Ga1 0.000 0.000 0.000
Br1 0.500 0.500 0.500

***

# 6
Here is Be2TlV after structural relaxation from the Alexandria database. Energies are from PBE-GGA.

## Properties
**Symmetry**: No. 122
**Energy of formation from the pure elements**: 19.29 kcal/mol of atoms
**Offset from the most stable computed form**: 0.872 eV per formula unit
**Energy**: -31.18 eV for the cell shown

abc: 6.628 6.628 5.410
angles: 52.22 52.22 90.00
Sites, in units of the cell vectors:
Be1 0.616 0.125 0.250
Be2 0.134 0.625 0.250
Be3 0.375 0.384 0.750
Be4 0.875 0.866 0.750
Tl1 0.000 0.000 0.000
Tl2 0.750 0.250 0.500
V1 0.500 0.500 0.000
V2 0.250 0.750 0.500

***

# 7
Here is BaLa3Ru after structural relaxation from the Alexandria database. Energies are from PBE-GGA.

## Properties
**Symmetry**: No. 227
**Energy of formation from the pure elements**: 0.95 kcal/mol of atoms
**Offset from the most stable computed form**: 0.942 eV per formula unit
**Energy**: -103.10 eV for the cell shown

abc: 10.782 10.782 10.782
angles: 60.00 60.00 60.00
Sites, in units of the cell vectors:
Ru1 0.125 0.125 0.125
Ru2 0.125 0.625 0.125
Ru3 0.625 0.125 0.125
Ru4 0.125 0.125 0.625
Ba1 0.625 0.625 0.625
Ba2 0.625 0.125 0.625
Ba3 0.125 0.625 0.625
Ba4 0.625 0.625 0.125
La1 0.819 0.181 0.181
La2 0.069 0.431 0.431
La3 0.431 0.431 0.069
La4 0.431 0.069 0.069
La5 0.069 0.431 0.069
La6 0.819 0.181 0.819
La7 0.431 0.069 0.431
La8 0.069 0.069 0.431
La9 0.181 0.819 0.181
La10 0.181 0.819 0.819
La11 0.181 0.181 0.819
La12 0.819 0.819 0.181

***

# 8
Here is Ce3Tl after structural relaxation from the Alexandria database. Energies are from PBE-GGA.

## Properties
**Symmetry**: No. 194
**Energy of formation from the pure elements**: -1.83 kcal/mol of atoms
**Energy**: -40.97 eV for the cell shown

abc: 6.886 6.886 5.505
angles: 90.00 90.00 60.00
Each line ends with the local moment (μB).
Sites, in units of the cell vectors:
Ce1 0.352 0.824 0.750  0.83
Ce2 0.824 0.824 0.750  0.83
Ce3 0.824 0.352 0.750  0.83
Ce4 0.648 0.176 0.250  0.83
Ce5 0.176 0.176 0.250  0.83
Ce6 0.176 0.648 0.250  0.83
Tl1 0.667 0.667 0.250  -0.02
Tl2 0.333 0.333 0.750  -0.02

***

# 9
Here is K2NaTeCl6 after structural relaxation from the Alexandria database. Energies are from PBE-GGA.

## Properties
**Symmetry**: No. 166
**Energy relative to the elements, uncorrected**: -1.22 eV/atom
**Energy**: -59.87 eV for the cell shown

abc: 7.817 7.817 12.843
angles: 72.28 72.28 60.00
Sites, in units of the cell vectors:
K1 0.862 0.862 0.413
K2 0.138 0.138 0.587
K3 0.727 0.727 0.820
K4 0.273 0.273 0.180
Na1 0.584 0.584 0.247
Na2 0.416 0.416 0.753
Te1 0.000 0.000 0.000
Te2 0.500 0.500 0.500
Cl1 0.899 0.358 0.386
Cl2 0.358 0.899 0.386
Cl3 0.358 0.358 0.386
Cl4 0.101 0.642 0.614
Cl5 0.642 0.101 0.614
Cl6 0.642 0.642 0.614
Cl7 0.719 0.200 0.881
Cl8 0.200 0.719 0.881
Cl9 0.200 0.200 0.881
Cl10 0.281 0.800 0.119
Cl11 0.800 0.281 0.119
Cl12 0.800 0.800 0.119

***

# 10
Here is RhCl3 after structural relaxation from the Alexandria database. Energies are from PBE-GGA.

## Properties
**Symmetry**: No. 59
**Energy relative to the elements, uncorrected**: -0.47 eV/atom
**Energy**: -29.52 eV for the cell shown

abc: 3.526 4.711 11.504
angles: 90.00 90.00 90.00
Sites, in units of the cell vectors:
Rh1 0.761 0.000 0.000
Rh2 0.239 0.500 0.500
Cl1 0.641 0.500 0.000
Cl2 0.359 0.000 0.500
Cl3 0.253 0.000 0.862
Cl4 0.253 0.000 0.138
Cl5 0.747 0.500 0.362
Cl6 0.747 0.500 0.638

***

# 11
Here is Dy8As3S4 after structural relaxation from the Alexandria database. Energies are from PBE-GGA.

## Properties
**Symmetry**: No. 12
**Energy relative to the elements, uncorrected**: -1.68 eV/atom
**Energy**: -92.44 eV for the cell shown

abc: 7.953 7.973 7.973
angles: 89.91 120.03 120.03
Sites, in units of the cell vectors:
Dy1 0.495 0.246 0.246
Dy2 0.000 0.753 0.247
Dy3 0.996 0.243 0.243
Dy4 0.500 0.751 0.249
Dy5 0.500 0.249 0.751
Dy6 0.004 0.757 0.757
Dy7 0.000 0.247 0.753
Dy8 0.505 0.754 0.754
As1 0.500 0.500 0.000
As2 0.500 0.000 0.500
As3 0.500 0.500 0.500
S1 0.500 0.000 0.000
S2 0.000 0.500 0.000
S3 0.000 0.000 0.000
S4 0.000 0.000 0.500

***

# 12
Here is DyTh2MnN5 after structural relaxation from the Alexandria database. Energies are from PBE-GGA.

## Properties
**Symmetry**: No. 127
**Energy relative to the elements, uncorrected**: -0.98 eV/atom
**Energy**: -158.12 eV for the cell shown

abc: 5.701 6.713 6.713
angles: 90.00 90.00 90.00
Each line ends with the local moment (μB).
Sites, in units of the cell vectors:
Dy1 0.000 0.500 0.500  0.01
Dy2 0.000 0.000 0.000  0.01
Th1 0.500 0.670 0.170  0.02
Th2 0.500 0.170 0.330  0.02
Th3 0.500 0.830 0.670  0.02
Th4 0.500 0.330 0.830  0.02
Mn1 0.000 0.000 0.500  1.18
Mn2 0.000 0.500 0.000  1.18
N1 0.500 0.500 0.500  -0.08
N2 0.500 0.000 0.000  -0.08
N3 0.225 0.142 0.642  -0.04
N4 0.225 0.858 0.358  -0.04
N5 0.225 0.358 0.142  -0.04
N6 0.225 0.642 0.858  -0.04
N7 0.775 0.142 0.642  -0.04
N8 0.775 0.642 0.858  -0.04
N9 0.775 0.858 0.358  -0.04
N10 0.775 0.358 0.142  -0.04

***

# 13
Here is AlSi2Au after structural relaxation from the Alexandria database. Energies are from PBE-GGA.

## Properties
**Symmetry**: No. 12
**Energy relative to the elements, uncorrected**: 0.11 eV/atom
**Energy**: -17.41 eV for the cell shown

abc: 6.040 6.040 4.350
angles: 111.62 111.62 28.23
Sites, in units of the cell vectors:
Si1 0.983 0.983 0.983
Si2 0.517 0.517 0.517
Au1 0.750 0.750 0.750
Al1 0.250 0.250 0.250

***

# 14
Here is P5Pt after structural relaxation from the Alexandria database. Energies are from PBE-GGA.

## Properties
**Symmetry**: No. 65
**Energy of formation from the pure elements**: -1.44 kcal/mol of atoms
**Offset from the most stable computed form**: 0.000 eV per formula unit
**Energy**: -33.46 eV for the cell shown

abc: 5.570 5.570 4.867
angles: 90.00 90.00 143.22
Sites, in units of the cell vectors:
P1 0.000 0.000 0.000
P2 0.325 0.675 0.000
P3 0.675 0.325 0.000
P4 0.339 0.661 0.500
P5 0.661 0.339 0.500
Pt1 0.000 0.000 0.500

***

# 15
Here is SrCuHg2F8 after structural relaxation from the Alexandria database. Energies are from PBE-GGA.

## Properties
**Symmetry**: No. 2
**Energy relative to the elements, uncorrected**: -2.06 eV/atom
**Energy**: -46.09 eV for the cell shown

abc: 4.090 5.622 7.992
angles: 94.89 88.73 93.49
Each line ends with the local moment (μB).
Sites, in units of the cell vectors:
Sr1 0.000 0.000 0.500  0.00
Cu1 0.000 0.000 0.000  0.68
Hg1 0.473 0.526 0.760  0.01
Hg2 0.527 0.474 0.240  0.01
F1 0.046 0.661 0.271  0.00
F2 0.628 0.763 0.015  0.07
F3 0.920 0.151 0.216  0.07
F4 0.954 0.339 0.729  0.00
F5 0.372 0.237 0.985  0.07
F6 0.080 0.849 0.784  0.07
F7 0.502 0.749 0.523  0.00
F8 0.498 0.251 0.477  0.00

***

# 16
Here is Li2TbCu2P2 after structural relaxation from the Alexandria database. Energies are from PBE-GGA.

## Properties
**Symmetry**: No. 166
**Energy of formation from the pure elements**: -17.88 kcal/mol of atoms
**Energy**: -32.90 eV for the cell shown

abc: 3.971 3.971 7.959
angles: 75.55 75.55 60.00
Sites, in units of the cell vectors:
Li1 0.142 0.142 0.573
Li2 0.858 0.858 0.427
Tb1 0.000 0.000 0.000
Cu1 0.574 0.574 0.278
Cu2 0.426 0.426 0.722
P1 0.746 0.746 0.761
P2 0.254 0.254 0.239

***

# 17
Here is SrInSeN2 after structural relaxation from the Alexandria database. Energies are from PBE-GGA.

## Properties
**Symmetry**: No. 123
**Offset from the most stable computed form**: 3.445 eV per formula unit
**Energy relative to the elements, uncorrected**: 1.10 eV/atom
**Energy**: -19.04 eV for the cell shown

abc: 4.919 4.919 6.221
angles: 90.00 90.00 90.00
Each line ends with the local moment (μB).
Sites, in units of the cell vectors:
Sr1 0.000 0.000 0.000  0.04
N1 0.000 0.500 0.000  1.38
N2 0.500 0.000 0.000  1.38
Se1 0.000 0.000 0.500  0.16
In1 0.500 0.500 0.500  0.02

***

# 18
Here is La2Nd5Er6 after structural relaxation from the Alexandria database. Energies are from PBE-GGA.

## Properties
**Symmetry**: No. 55
**Energy of formation from the pure elements**: 2.17 kcal/mol of atoms
**Energy**: -119.70 eV for the cell shown

abc: 3.611 11.770 20.696
angles: 90.00 90.00 90.00
Sites, in units of the cell vectors:
La1 0.000 0.324 0.275
La2 0.000 0.676 0.725
La3 0.000 0.824 0.225
La4 0.000 0.176 0.775
Nd1 0.500 0.299 0.442
Nd2 0.500 0.701 0.558
Nd3 0.500 0.799 0.058
Nd4 0.500 0.201 0.942
Nd5 0.500 0.583 0.286
Nd6 0.500 0.417 0.714
Nd7 0.500 0.083 0.214
Nd8 0.500 0.917 0.786
Nd9 0.500 0.500 0.000
Nd10 0.500 0.000 0.500
Er1 0.000 0.069 0.360
Er2 0.000 0.931 0.640
Er3 0.000 0.569 0.140
Er4 0.000 0.431 0.860
Er5 0.500 0.314 0.123
Er6 0.500 0.686 0.877
Er7 0.500 0.814 0.377
Er8 0.500 0.186 0.623
Er9 0.000 0.565 0.428
Er10 0.000 0.435 0.572
Er11 0.000 0.065 0.072
Er12 0.000 0.935 0.928

***

# 19
Here is RbNb2BiS after structural relaxation from the Alexandria database. Energies are from PBE-GGA.

## Properties
**Symmetry**: No. 123
**Energy relative to the elements, uncorrected**: 2.33 eV/atom
**Energy**: -17.45 eV for the cell shown

abc: 5.220 5.369 5.220
angles: 90.00 90.00 90.00
Each line ends with the local moment (μB).
Sites, in units of the cell vectors:
S1 0.000 0.500 0.000  -0.02
Nb1 0.000 0.000 0.500  2.08
Nb2 0.500 0.000 0.000  2.02
Bi1 0.500 0.500 0.500  -0.16
Rb1 0.000 0.000 0.000  0.17